3
Lattice="-1.341 -4.051 1.022 -4.254 -1.038 -0.276 -1.397 -2.710 -3.156" Properties=species:S:1:pos:R:3 comment="HgMoAs, optimized geometry, DFT PBE-GGA" volume_a3_per_atom=19.91 polymorph_energy_mev_per_atom=107 pbc="T T T"
As 0.000 0.000 0.000
Hg -1.748 -1.950 -0.602
Mo -5.244 -5.849 -1.807